Entry 1:
VASP calculation (PBE) on a relaxed structure of Mg2TiRe.

Computed properties:
polymorph energy (0 for the lowest one): 0.35 eV per formula unit
magnetization: 0.0 μB per formula unit

Cell: 10.4541 10.4541 10.4541 Å, 159.10 159.10 29.72°
Fractional coordinates of all 8 atoms:
Mg 0.1157 0.6250 0.9907
Mg 0.3750 0.3657 0.4907
Mg 0.6343 0.1250 0.0093
Mg 0.8750 0.8843 0.5093
Ti 0.2500 0.7500 0.5000
Ti 0.5000 0.5000 0.0000
Re 0.0000 0.0000 0.0000
Re 0.7500 0.2500 0.5000



Entry 2:
VASP calculation (PBE) on a relaxed structure of Ac3Sb2Te3.

Computed properties:
E_form (uncorrected): -1.25 eV per atom
magnetization: 0.0 μB per formula unit

Cell: 10.0846 10.0846 6.4425 Å, 90.00 90.00 120.00°
Fractional coordinates of all 16 atoms:
Ac 0.0000 0.3720 0.2500
Ac 0.0000 0.6280 0.7500
Ac 0.3720 0.0000 0.2500
Ac 0.3720 0.3720 0.7500
Ac 0.6280 0.0000 0.7500
Ac 0.6280 0.6280 0.2500
Sb 0.3333 0.6667 0.0000
Sb 0.3333 0.6667 0.5000
Sb 0.6667 0.3333 0.0000
Sb 0.6667 0.3333 0.5000
Te 0.0000 0.2771 0.7500
Te 0.0000 0.7229 0.2500
Te 0.2771 0.0000 0.7500
Te 0.2771 0.2771 0.2500
Te 0.7229 0.0000 0.2500
Te 0.7229 0.7229 0.7500



Entry 3:
VASP calculation (PBE) on a relaxed structure of PrDyHo3Tm.

Computed properties:
uncorrected energy: -4.39 eV/atom
magnetization: 0.0 μB per formula unit

Cell: 11.4775 11.4775 6.7732 Å, 98.01 98.01 27.08°
Fractional coordinates of all 12 atoms:
Pr 0.1291 0.1291 0.4789
Pr 0.8709 0.8709 0.5211
Dy 0.1671 0.1671 0.0312
Dy 0.8329 0.8329 0.9688
Ho 0.0237 0.0237 0.7770
Ho 0.2737 0.2737 0.6851
Ho 0.3273 0.3273 0.2229
Ho 0.6727 0.6727 0.7771
Ho 0.7263 0.7263 0.3149
Ho 0.9763 0.9763 0.2230
Tm 0.4269 0.4269 0.8546
Tm 0.5731 0.5731 0.1454



Entry 4:
VASP calculation (PBE) on a relaxed structure of Nd12Hg6H.

Computed properties:
uncorrected energy: -3.52 eV/atom
magnetization: 0.0 μB per formula unit

Cell: 8.3629 8.3629 8.3629 Å, 94.88 94.88 94.88°
Fractional coordinates of all 19 atoms:
Nd 0.0340 0.6962 0.9227
Nd 0.0773 0.9660 0.3038
Nd 0.1967 0.5354 0.4182
Nd 0.3038 0.0773 0.9660
Nd 0.4182 0.1967 0.5354
Nd 0.4646 0.5818 0.8033
Nd 0.5354 0.4182 0.1967
Nd 0.5818 0.8033 0.4646
Nd 0.6962 0.9227 0.0340
Nd 0.8033 0.4646 0.5818
Nd 0.9227 0.0340 0.6962
Nd 0.9660 0.3038 0.0773
Hg 0.1480 0.3520 0.7489
Hg 0.2511 0.8520 0.6480
Hg 0.3520 0.7489 0.1480
Hg 0.6480 0.2511 0.8520
Hg 0.7489 0.1480 0.3520
Hg 0.8520 0.6480 0.2511
H 0.5000 0.5000 0.5000



Entry 5:
VASP calculation (PBE) on a relaxed structure of AuCNF2.

Computed properties:
E_form (uncorrected): 0.15 eV per atom
polymorph energy (0 for the lowest one): 0.00 eV per formula unit
magnetization: 0.0 μB per formula unit

Cell: 4.7199 4.7199 2.5058 Å, 90.00 90.00 90.00°
Fractional coordinates of all 5 atoms:
Au 0.0000 0.0000 0.0000
C 0.5000 0.5000 0.5000
N 0.5000 0.5000 0.0000
F 0.0000 0.5000 0.5000
F 0.5000 0.0000 0.5000



Entry 6:
VASP calculation (PBE) on a relaxed structure of GaPdPt3.

Computed properties:
polymorph energy (0 for the lowest one): 0.00 eV per formula unit
magnetization: 0.0 μB per formula unit

Cell: 9.8643 9.8643 3.9236 Å, 90.00 90.00 156.28°
Fractional coordinates of all 10 atoms:
Ga 0.1485 0.8515 0.7500
Ga 0.8515 0.1485 0.2500
Pd 0.3484 0.6516 0.7500
Pd 0.6516 0.3484 0.2500
Pt 0.0544 0.9456 0.2500
Pt 0.2475 0.7525 0.2500
Pt 0.4496 0.5504 0.2500
Pt 0.5504 0.4496 0.7500
Pt 0.7525 0.2475 0.7500
Pt 0.9456 0.0544 0.7500